No. 1
A PBEsol-optimized structure of Be2SnRu2. Source: the Alexandria database, functional SCAN.

a b c (Å): 2.992 6.342 6.342
angles (deg): 90.00 90.00 90.00
Atoms (fractional coordinates):
Ru1 0.500 0.832 0.332
Ru2 0.500 0.332 0.168
Ru3 0.500 0.168 0.668
Ru4 0.500 0.668 0.832
Sn1 0.000 0.500 0.500
Sn2 0.000 0.000 0.000
Be1 0.000 0.618 0.118
Be2 0.000 0.382 0.882
Be3 0.000 0.118 0.382
Be4 0.000 0.882 0.618

Properties
DFT total energy: -23.16 eV per atom
Density of states at the Fermi level: 0.29 states/eV/atom
Total magnetic moment: 0.00 μB/atom
Crystal system: tetragonal
V: 12.0 Å³/atom

=====

No. 2
A PBEsol-optimized structure of CeB4Ir2Os2. Source: the Alexandria database, functional SCAN.

a b c (Å): 3.983 7.549 7.549
angles (deg): 90.00 90.00 90.00
Last column: magnetic moment on the atom in μB.
Atoms (fractional coordinates):
Os1 0.861 0.110 0.855  -0.02
Os2 0.861 0.890 0.145  -0.02
Os3 0.361 0.855 0.890  -0.02
Os4 0.361 0.145 0.110  -0.02
B1 0.141 0.661 0.722  0.00
B2 0.864 0.840 0.783  0.00
B3 0.364 0.217 0.840  0.00
B4 0.864 0.160 0.217  0.00
B5 0.641 0.722 0.339  0.00
B6 0.141 0.339 0.278  0.00
B7 0.641 0.278 0.661  0.00
B8 0.364 0.783 0.160  0.00
Ir1 0.637 0.657 0.610  -0.03
Ir2 0.637 0.343 0.390  -0.03
Ir3 0.137 0.610 0.343  -0.03
Ir4 0.137 0.390 0.657  -0.03
Ce1 0.745 0.500 0.000  0.54
Ce2 0.245 0.000 0.500  0.54

Properties
DFT total energy: -40.59 eV per atom
Density of states at the Fermi level: 0.52 states/eV/atom
Total magnetic moment: 0.05 μB/atom
Crystal system: tetragonal
V: 12.6 Å³/atom

=====

No. 3
A PBEsol-optimized structure of SrHf3Te. Source: the Alexandria database, functional SCAN.

a b c (Å): 5.300 5.300 5.300
angles (deg): 90.00 90.00 90.00
Atoms (fractional coordinates):
Te1 0.000 0.000 0.000
Hf1 0.500 0.000 0.000
Hf2 0.000 0.000 0.500
Hf3 0.000 0.500 0.000
Sr1 0.500 0.500 0.500

Properties
DFT total energy: -48.87 eV per atom
Density of states at the Fermi level: 0.46 states/eV/atom
ΔE_f (raw): 0.64 eV/atom
Total magnetic moment: 0.00 μB/atom
Crystal system: cubic
V: 29.8 Å³/atom

=====

No. 4
A PBEsol-optimized structure of HfIBr2. Source: the Alexandria database, functional SCAN.

a b c (Å): 5.063 5.063 5.063
angles (deg): 60.00 60.00 60.00
Atoms (fractional coordinates):
Br1 0.250 0.250 0.250
Br2 0.750 0.750 0.750
Hf1 0.500 0.500 0.500
I1 0.000 0.000 0.000

Properties
DFT total energy: -34.48 eV per atom
Density of states at the Fermi level: 0.53 states/eV/atom
ΔE_f (raw): 0.11 eV/atom
Total magnetic moment: 0.00 μB/atom
Crystal system: cubic
V: 22.9 Å³/atom